DFT (PBE-GGA) results for ScHgPd after structural relaxation.

DOS(E_F), states/eV/cell: 4.06
Energy relative to the elements, kJ per mole of atoms: -58.2
DFT total energy, eV per atom: -4.55

Cell: 4.7617 4.7617 5.8593 Å, 90.00 90.00 120.00°
Closest atoms and distances in Å follow each position.
Fractional coordinates of all 6 atoms:
Sc 0.6666 0.8334 0.7500  5 Pd 2.75-2.93
Hg 0.0000 0.5000 0.0000  2 Hg 2.93, 6 Pd 3.11-3.12, 6 Sc 3.11-3.12
Pd 0.3332 0.1668 0.7500  5 Sc 2.75-2.93
Sc 0.3334 0.1666 0.2500  5 Pd 2.75-2.93
Hg 0.0000 0.5000 0.5000  2 Hg 2.93, 6 Pd 3.11-3.12, 6 Sc 3.11-3.12
Pd 0.6668 0.8332 0.2500  5 Sc 2.75-2.93

***

DFT (PBE-GGA) results for Sc2Hg2Pd after structural relaxation.

DOS(E_F), states/eV/cell: 4.09
Energy relative to the elements, kJ per mole of atoms: -46.2
DFT total energy, eV per atom: -4.17

Cell: 3.2840 3.3772 9.7345 Å, 80.01 90.00 90.00°
Closest atoms and distances in Å follow each position.
Fractional coordinates of all 5 atoms:
Sc 0.5000 0.4148 0.1703  4 Pd 2.87, 4 Hg 3.05
Sc 0.5000 0.5852 0.8297  4 Pd 2.87, 4 Hg 3.05
Hg 0.0000 0.1863 0.6274  4 Hg 2.97-3.28, 4 Sc 3.05
Hg 0.0000 0.8137 0.3726  4 Hg 2.97-3.28, 4 Sc 3.05
Pd 0.0000 0.0000 0.0000  8 Sc 2.87